# Li3Pr2CdSn4 PBE-GGA relaxed
data_Li3Pr2CdSn4
_chemical_formula_sum 'Li3 Pr2 Cd1 Sn4'
_space_group_name_H-M_alt 'P -4 m 2'
_space_group_IT_number 115
_cell_length_a 4.4655
_cell_length_b 4.4655
_cell_length_c 11.8592
_cell_angle_alpha 90.00
_cell_angle_beta 90.00
_cell_angle_gamma 90.00
loop_
_space_group_symop_operation_xyz
'x,y,z'
'y,-x,-z'
'-x,-y,z'
'-y,x,-z'
'-x,y,z'
'-y,-x,-z'
'x,-y,z'
'y,x,-z'
loop_
_atom_site_label
_atom_site_fract_x
_atom_site_fract_y
_atom_site_fract_z
_atom_site_occupancy
Li1 0.0000 0.0000 0.0000 1
Li2 0.0000 0.5000 0.6325 1
Pr1 0.0000 0.5000 0.2605 1
Cd1 0.5000 0.5000 0.0000 1
Sn1 0.0000 0.0000 0.5000 1
Sn2 0.0000 0.5000 0.8477 1
Sn3 0.5000 0.5000 0.5000 1
# N(E_F) ... 2.968 states/eV/f.u.
# M_tot ... 0.0 μB/f.u.
# ΔE_f ... -0.533 eV/atom



# HfZrC2 PBE-GGA relaxed
data_HfZrC2
_chemical_formula_sum 'Hf1 Zr1 C2'
_space_group_name_H-M_alt 'P 4/m m m'
_space_group_IT_number 123
_space_group_name_Hall '-P 4 2'
_cell_length_a 3.3152
_cell_length_b 3.3152
_cell_length_c 4.6845
_cell_angle_alpha 90.00
_cell_angle_beta 90.00
_cell_angle_gamma 90.00
loop_
_atom_site_label
_atom_site_fract_x
_atom_site_fract_y
_atom_site_fract_z
_atom_site_occupancy
Hf1 0.0000 0.0000 0.0000 1
Zr1 0.5000 0.5000 0.5000 1
C1 0.0000 0.0000 0.5000 1
C2 0.5000 0.5000 0.0000 1
# N(E_F) ... 0.892 states/eV/f.u.
# Polymorph energy (0 for the lowest one) ... 0 meV per atom
# M_tot ... 0.0 μB/f.u.
# ΔE_f ... -0.873 eV/atom



# LiInOs2 PBE-GGA relaxed
data_LiInOs2
_chemical_formula_sum 'Li1 In1 Os2'
_space_group_name_H-M_alt 'P 4 m m'
_space_group_IT_number 99
_cell_length_a 2.9942
_cell_length_b 2.9942
_cell_length_c 6.5690
_cell_angle_alpha 90.00
_cell_angle_beta 90.00
_cell_angle_gamma 90.00
loop_
_space_group_symop_operation_xyz
'x,y,z'
'-y,x,z'
'-x,-y,z'
'y,-x,z'
'-x,y,z'
'y,x,z'
'x,-y,z'
'-y,-x,z'
loop_
_atom_site_label
_atom_site_fract_x
_atom_site_fract_y
_atom_site_fract_z
_atom_site_occupancy
Li1 0.0000 0.0000 0.0000 1
In1 0.5000 0.5000 0.7547 1
Os1 0.0000 0.0000 0.4556 1
Os2 0.5000 0.5000 0.2183 1
# N(E_F) ... 0.444 states/eV/f.u.
# M_tot ... 0.0 μB/f.u.
# ΔE_f ... 0.161 eV/atom



Which of these has the highest ΔE_f? LiInOs2